# 1
ZnBr2 | PBE-GGA | optimized geometry

a b c (Å): 14.017 4.335 6.817
angles (deg): 90.00 101.81 90.00
Space group C2/c (No. 15)
Asymmetric unit:
Zn1 0.000 0.000 0.000
Br1 0.126 0.141 0.308

Values from the calculation:
V ... 33.79 Å³/atom
Final energy ... -26.5 eV for the cell shown



# 2
MgTlCoAu | PBE-GGA | optimized geometry

a b c (Å): 6.516 6.516 6.516
angles (deg): 90.00 90.00 90.00
Space group F-43m (No. 216)
Asymmetric unit:
Mg1 0.000 0.000 0.000
Tl1 0.250 0.250 0.250
Co1 0.000 0.000 0.500
Au1 0.250 0.250 0.750

Values from the calculation:
Offset from the most stable computed form ... 0 kJ/mol of formula units
V ... 17.29 Å³/atom



# 3
NaNbZnSe3 | PBE-GGA | optimized geometry

a b c (Å): 3.749 13.880 10.197
angles (deg): 90.00 90.00 90.00
Space group Cmcm (No. 63)
Asymmetric unit:
Na1 0.000 0.243 0.250
Nb1 0.000 0.000 0.000
Zn1 0.000 0.466 0.750
Se1 0.000 0.082 0.750
Se2 0.000 0.365 0.553

Values from the calculation:
V ... 22.11 Å³/atom
Final energy ... -109.0 eV for the cell shown



# 4
NbTlCuNi | PBE-GGA | optimized geometry

a b c (Å): 6.352 6.352 6.352
angles (deg): 90.00 90.00 90.00
Space group F-43m (No. 216)
Asymmetric unit:
Nb1 0.000 0.000 0.000
Tl1 0.250 0.250 0.250
Cu1 0.000 0.000 0.500
Ni1 0.250 0.250 0.750

Values from the calculation:
Offset from the most stable computed form ... 63 kJ/mol of formula units
V ... 16.02 Å³/atom



# 5
DyTmCu2Si2 | PBE-GGA | optimized geometry

a b c (Å): 4.1216 4.1216 7.4156
angles (deg): 90.00 90.00 120.00
Space group P-3m1 (No. 164)
Asymmetric unit:
Dy1 0.0000 0.0000 0.0000
Tm1 0.0000 0.0000 0.5000
Cu1 0.3333 0.6667 0.2557
Si1 0.3333 0.6667 0.7460

Values from the calculation:
V ... 18.18 Å³/atom
Final energy ... -31.4 eV for the cell shown



# 6
Tb5Mg | PBE-GGA | optimized geometry

a b c (Å): 3.5639 3.5639 16.9214
angles (deg): 90.00 90.00 120.00
Space group P-6m2 (No. 187)
Asymmetric unit:
Tb1 0.0000 0.0000 0.0000
Tb2 0.0000 0.0000 0.3375
Tb3 0.6667 0.3333 0.1695
Mg1 0.6667 0.3333 0.5000

Values from the calculation:
Offset from the most stable computed form ... 0 kJ/mol of formula units
V ... 31.02 Å³/atom



# 7
NiSn | PBE-GGA | optimized geometry

a b c (Å): 5.277 5.277 5.277
angles (deg): 90.00 90.00 90.00
Space group Fm-3m (No. 225)
Asymmetric unit:
Ni1 0.000 0.000 0.000
Sn1 0.000 0.000 0.500

Values from the calculation:
V ... 18.37 Å³/atom
Final energy ... -37.8 eV for the cell shown



# 8
HfZnFe | PBE-GGA | optimized geometry

a b c (Å): 5.908 5.908 5.908
angles (deg): 90.00 90.00 90.00
Space group F-43m (No. 216)
Asymmetric unit:
Hf1 0.000 0.000 0.000
Zn1 0.000 0.000 0.500
Fe1 0.250 0.250 0.250

Values from the calculation:
V ... 17.18 Å³/atom
Energy of formation from the pure elements ... 0.1905 eV/atom



# 9
Na4Si2PdAu | PBE-GGA | optimized geometry

a b c (Å): 4.642 4.642 6.569
angles (deg): 90.00 90.00 90.00
Space group P-4m2 (No. 115)
Asymmetric unit:
Na1 0.000 0.000 0.000
Na2 0.000 0.500 0.747
Na3 0.500 0.500 0.500
Si1 0.000 0.500 0.263
Pd1 0.000 0.000 0.500
Au1 0.500 0.500 0.000

Values from the calculation:
V ... 17.69 Å³/atom
Final energy ... -24.8 eV for the cell shown



# 10
TbErCu2 | PBE-GGA | optimized geometry

a b c (Å): 4.484 3.678 10.263
angles (deg): 90.00 90.00 90.00
Space group Amm2 (No. 38)
Asymmetric unit:
Tb1 0.000 0.000 0.000
Er1 0.500 0.000 0.720
Cu1 0.000 0.000 0.287
Cu2 0.500 0.000 0.431

Values from the calculation:
V ... 21.16 Å³/atom
Energy of formation from the pure elements ... -0.2563 eV/atom



# 11
BaNaTmS3 | PBE-GGA | optimized geometry

a b c (Å): 4.217 13.750 10.351
angles (deg): 90.00 90.00 90.00
Space group Cmcm (No. 63)
Asymmetric unit:
Ba1 0.000 0.244 0.250
Na1 0.000 0.029 0.750
Tm1 0.000 0.500 0.000
S1 0.000 0.130 0.543
S2 0.000 0.426 0.750

Values from the calculation:
Offset from the most stable computed form ... 3 kJ/mol of formula units
V ... 25.01 Å³/atom



# 12
Rb2LaErO4 | PBE-GGA | optimized geometry

a b c (Å): 3.5676 3.5676 12.9482
angles (deg): 90.00 90.00 120.00
Space group P-3m1 (No. 164)
Asymmetric unit:
Rb1 0.3333 0.6667 0.2568
La1 0.0000 0.0000 0.0000
Er1 0.0000 0.0000 0.5000
O1 0.3333 0.6667 0.5842
O2 0.3333 0.6667 0.9032

Values from the calculation:
V ... 17.84 Å³/atom
Final energy ... -52.3 eV for the cell shown



- The lowest V belongs to which entry?
  NbTlCuNi



- The lowest V belongs to which entry?
  NbTlCuNi



- The highest V belongs to which entry?
  ZnBr2